Entry 1:
RuRhO3: relaxed, PBE-GGA.

Output
For the uncorrected formation energy, the calculation gives -0.43 eV/atom. The total magnetic moment is 0.000 μB/f.u.

abc: 11.427 3.017 7.581
angles: 90.00 101.14 90.00
Space group C2/m (No. 12)
Symmetry-distinct sites (fractional):
Ru (0.105, 0.000, 0.252) x4
Rh (0.169, 0.500, 0.669) x4
O (0.009, 0.500, 0.782) x4
O (0.108, 0.000, 0.507) x4
O (0.213, 0.500, 0.180) x4


Entry 2:
Tl3Hg6Bi: relaxed, PBE-GGA.

Output
The energy of formation is 0.01 eV/atom. The total magnetic moment is 0.000 μB/f.u.

abc: 11.823 3.496 14.527
angles: 90.00 91.36 90.00
Space group P2_1/m (No. 11)
Symmetry-distinct sites (fractional):
Tl (0.144, 0.250, 0.026) x2
Tl (0.301, 0.250, 0.784) x2
Tl (0.347, 0.750, 0.532) x2
Hg (0.108, 0.250, 0.446) x2
Hg (0.124, 0.750, 0.648) x2
Hg (0.218, 0.750, 0.286) x2
Hg (0.380, 0.250, 0.154) x2
Hg (0.393, 0.750, 0.960) x2
Hg (0.473, 0.750, 0.335) x2
Bi (0.009, 0.250, 0.821) x2


Entry 3:
SrMnTlCl5: relaxed, PBE-GGA.

Output
For the uncorrected formation energy, the calculation gives -1.59 eV/atom. The total magnetic moment is 5.000 μB/f.u.

abc: 9.225 12.468 10.279
angles: 90.00 113.20 90.00
Space group C2/c (No. 15)
Symmetry-distinct sites (fractional):
Sr (0.000, 0.000, 0.000) x4
Mn (0.000, 0.319, 0.250) x4
Tl (0.000, 0.342, 0.750) x4
Cl (0.000, 0.096, 0.750) x4
Cl (0.121, 0.208, 0.134) x8
Cl (0.170, 0.434, 0.428) x8


Entry 4:
Tb2SmHg4: relaxed, PBE-GGA.

Output
The energy of formation is -0.33 eV/atom. The total magnetic moment is 0.000 μB/f.u.

abc: 5.1223 5.1223 26.3578
angles: 90.00 90.00 120.00
Space group R-3m (No. 166, hexagonal axes)
Symmetry-distinct sites (fractional):
Tb (0.0000, 0.0000, 0.2432) x6
Sm (0.0000, 0.0000, 0.0000) x3
Hg (0.0000, 0.0000, 0.1267) x6
Hg (0.0000, 0.0000, 0.3790) x6


Entry 5:
LaScCo: relaxed, PBE-GGA.

Output
The energy of formation is 0.01 eV/atom. The total magnetic moment is 0.000 μB/f.u.

abc: 6.587 6.587 6.587
angles: 90.00 90.00 90.00
Space group F-43m (No. 216)
Symmetry-distinct sites (fractional):
La (0.000, 0.000, 0.000) x4
Sc (0.000, 0.000, 0.500) x4
Co (0.250, 0.250, 0.750) x4


Entry 6:
DySc3O: relaxed, PBE-GGA.

Output
For the uncorrected formation energy, the calculation gives -1.15 eV/atom. The total magnetic moment is 0.000 μB/f.u.

abc: 6.295 5.188 6.568
angles: 90.00 103.53 90.00
Space group P2_1 (No. 4)
Symmetry-distinct sites (fractional):
Dy (0.146, 0.000, 0.171) x2
Sc (0.169, 0.017, 0.672) x2
Sc (0.380, 0.512, 0.477) x2
Sc (0.392, 0.498, 0.977) x2
O (0.496, 0.252, 0.747) x2


Entry 7:
LiPuTl4Pd2: relaxed, PBE-GGA.

Output
The energy of formation is -0.15 eV/atom. The total magnetic moment is 5.878 μB/f.u.

abc: 5.0009 5.0009 24.3011
angles: 90.00 90.00 120.00
Space group R-3m (No. 166, hexagonal axes)
Symmetry-distinct sites (fractional):
Li (0.0000, 0.0000, 0.0000) x3
Pu (0.0000, 0.0000, 0.5000) x3
Tl (0.0000, 0.0000, 0.1166) x6
Tl (0.0000, 0.0000, 0.3673) x6
Pd (0.0000, 0.0000, 0.2455) x6


Entry 8:
KLa2Fe: relaxed, PBE-GGA.

Output
The energy of formation is 0.31 eV/atom. The total magnetic moment is 0.000 μB/f.u.

abc: 8.006 8.006 11.340
angles: 90.00 90.00 90.00
Space group I4_1/amd (No. 141, origin choice 2)
Symmetry-distinct sites (fractional):
K (0.000, 0.250, 0.375) x4
La (0.000, 0.000, 0.000) x8
Fe (0.000, 0.250, 0.875) x4


Entry 9:
Th3BiN4: relaxed, PBE-GGA.

Output
For the uncorrected formation energy, the calculation gives -1.20 eV/atom. The total magnetic moment is 0.000 μB/f.u.

abc: 4.029 4.029 10.349
angles: 90.00 90.00 90.00
Space group P4/mmm (No. 123)
Symmetry-distinct sites (fractional):
Th (0.000, 0.000, 0.000) x1
Th (0.500, 0.500, 0.251) x2
Bi (0.000, 0.000, 0.500) x1
N (0.000, 0.500, 0.146) x4


Entry 10:
MgBi2Te: relaxed, PBE-GGA.

Output
For the uncorrected formation energy, the calculation gives 0.16 eV/atom. The total magnetic moment is 0.000 μB/f.u.

abc: 6.536 6.536 15.535
angles: 90.00 90.00 90.00
Space group I-42d (No. 122)
Symmetry-distinct sites (fractional):
Mg (0.000, 0.000, 0.000) x4
Bi (0.229, 0.250, 0.125) x8
Te (0.000, 0.000, 0.500) x4


Entry 11:
NiPSe2: relaxed, PBE-GGA.

Output
For the uncorrected formation energy, the calculation gives 0.14 eV/atom. The total magnetic moment is 0.000 μB/f.u.

abc: 5.602 5.602 11.152
angles: 90.00 90.00 90.00
Space group I-42d (No. 122)
Symmetry-distinct sites (fractional):
Ni (0.000, 0.000, 0.000) x4
P (0.000, 0.000, 0.500) x4
Se (0.216, 0.250, 0.125) x8


> Among the records above, which one has the highest total magnetic moment?

LiPuTl4Pd2


> What is the total magnetic moment in the fourth record?

0.000 μB/f.u.